Ac4CoNi: relaxed, PBE.

Cell lengths 6.890, 4.240, 7.382 Å; angles 90.00, 90.10, 90.00 degrees
Space group P2/m (No. 10)
Symmetry-distinct sites (fractional):
Ac: 0.227 0.000 0.339 x2
Ac: 0.229 0.500 0.827 x2
Co: 0.000 0.500 0.500 x1
Ni: 0.000 0.000 0.000 x1

---

Ac12CoNi5: relaxed, PBE.

Cell lengths 7.391, 12.803, 13.855 Å; angles 90.00, 100.10, 90.00 degrees
Space group C2/m (No. 12)
Symmetry-distinct sites (fractional):
Ac: 0.128 0.167 0.380 x8
Ac: 0.129 0.500 0.381 x4
Ac: 0.202 0.336 0.115 x8
Ac: 0.211 0.000 0.115 x4
Co: 0.000 0.500 0.000 x2
Ni: 0.000 0.000 0.500 x2
Ni: 0.000 0.167 0.000 x4
Ni: 0.000 0.333 0.500 x4

---

Ac19Co6Ni4: relaxed, PBE.

Cell lengths 12.475, 12.475, 12.475 Å; angles 90.00, 90.00, 90.00 degrees
Space group I23 (No. 197)
Symmetry-distinct sites (fractional):
Ac: 0.000 0.000 0.000 x2
Ac: 0.000 0.000 0.291 x12
Ac: 0.066 0.284 0.336 x24
Co: 0.000 0.113 0.500 x12
Ni: 0.140 0.140 0.140 x8

---

Number 1: calculated formation energy -0.10 eV per atom. Number 2: calculated formation energy -0.14 eV per atom. Number 3: calculated formation energy 0.10 eV per atom.